P | Entry from Alexandria: Al2TlMo after structural relaxation (PBEsol).

Unit cell a=2.8826 b=5.0612 c=5.0273 alpha=96.36 beta=90.00 gamma=106.55
Last column: nearest neighbours and their distance in Å.
Positions (direct):
Al: 0.7354 0.4707 0.7204  4 Al 2.69-2.88, 1 Tl 2.82, 3 Mo 2.82-2.91
Al: 0.2646 0.5293 0.2796  4 Al 2.69-2.88, 1 Tl 2.82, 3 Mo 2.82-2.91
Tl: 0.5000 0.0000 0.0000  6 Al 2.82-3.13, 2 Tl 2.88, 4 Mo 2.90
Mo: 0.0000 0.0000 0.5000  6 Al 2.82-2.91, 2 Mo 2.88, 4 Tl 2.90

Summary:
Crystal system: monoclinic
D(E_F): 0.66 states/eV per atom

Q | Entry from Alexandria: Al2TlMo after structural relaxation (PBEsol).

Unit cell a=2.8634 b=2.8634 c=8.7500 alpha=90.00 beta=90.00 gamma=90.00
Last column: nearest neighbours and their distance in Å.
Positions (direct):
Mo: 0.0000 0.0000 0.4713  4 Al 2.74, 4 Mo 2.86
Al: 0.5000 0.5000 0.2610  4 Mo 2.74, 8 Al 2.85-2.86
Al: 0.0000 0.0000 0.0316  8 Al 2.85-2.86
Tl: 0.5000 0.5000 0.7361  4 Tl 2.86, 4 Mo 3.08

Summary:
Crystal system: tetragonal
D(E_F): 0.55 states/eV per atom

Relative energies with respect to the most stable structure, expressed in meV per atom: P 0; Q 62.

P | Entry from Alexandria: Al2TlMo after structural relaxation (PBEsol).

Unit cell a=2.9098 b=2.9098 c=8.7707 alpha=90.00 beta=90.00 gamma=90.00
Last column: nearest neighbours and their distance in Å.
Positions (direct):
Tl: 0.5000 0.5000 0.5000  4 Tl 2.91
Al: 0.0000 0.0000 0.7970  4 Mo 2.72, 4 Al 2.91
Al: 0.0000 0.0000 0.2030  4 Mo 2.72, 4 Al 2.91
Mo: 0.5000 0.5000 0.0000  8 Al 2.72, 4 Mo 2.91

Summary:
Crystal system: tetragonal
D(E_F): 0.88 states/eV per atom

Q | Entry from Alexandria: Al2TlMo after structural relaxation (PBEsol).

Unit cell a=2.9039 b=4.7590 c=4.9490 alpha=90.00 beta=90.00 gamma=90.00
Last column: nearest neighbours and their distance in Å.
Positions (direct):
Mo: 0.0000 0.0000 0.4968  6 Al 2.72-3.02, 2 Mo 2.90, 4 Tl 3.00
Al: 0.0000 0.5000 0.7683  2 Mo 2.73, 4 Tl 2.84-2.89, 6 Al 2.90-2.95
Al: 0.5000 0.0000 0.9607  4 Mo 2.72-3.02, 2 Tl 2.84, 6 Al 2.90-2.95
Tl: 0.5000 0.5000 0.2742  6 Al 2.84-2.89, 2 Tl 2.90, 4 Mo 3.00

Summary:
Crystal system: orthorhombic
D(E_F): 0.36 states/eV per atom

Relative energies with respect to the most stable structure, expressed in meV per atom: P 0; Q 20.

P | Entry from Alexandria: AlMoW after structural relaxation (PBEsol).

Unit cell a=2.7853 b=2.7853 c=6.8964 alpha=90.00 beta=90.00 gamma=120.00
Last column: nearest neighbours and their distance in Å.
Positions (direct):
Mo: 0.3333 0.6667 0.6702  3 Al 2.78, 6 Mo 2.79, 3 W 2.84
W: 0.6667 0.3333 0.3304  6 W 2.79, 3 Al 2.79, 3 Mo 2.84
Al: 0.0000 0.0000 0.9994  3 Mo 2.78, 6 Al 2.79, 3 W 2.79

Summary:
Crystal system: trigonal
D(E_F): 0.88 states/eV per atom

Q | Entry from Alexandria: AlMoW after structural relaxation (PBEsol).

Unit cell a=2.7322 b=2.7322 c=6.6771 alpha=97.86 beta=97.86 gamma=109.35
Last column: nearest neighbours and their distance in Å.
Positions (direct):
Mo: 0.3340 0.3340 0.6679  2 Al 2.66, 2 W 2.68, 4 Mo 2.73
Al: 0.9993 0.9993 0.9986  2 Mo 2.66, 2 W 2.69, 4 Al 2.73
W: 0.6668 0.6668 0.3335  2 Mo 2.68, 2 Al 2.69, 4 W 2.73

Summary:
Crystal system: orthorhombic
D(E_F): 0.60 states/eV per atom

R | Entry from Alexandria: AlMoW after structural relaxation (PBEsol).

Unit cell a=4.2527 b=4.2527 c=4.2527 alpha=60.00 beta=60.00 gamma=60.00
Last column: nearest neighbours and their distance in Å.
Positions (direct):
Mo: 0.2500 0.2500 0.2500  4 Al 2.60, 4 W 2.60
W: 0.0000 0.0000 0.0000  4 Mo 2.60
Al: 0.5000 0.5000 0.5000  4 Mo 2.60

Summary:
Crystal system: cubic
D(E_F): 1.51 states/eV per atom

Relative energies with respect to the most stable structure, expressed in meV per atom: P 228; Q 0; R 801.